Material: ErHfRh2
Method: DFT, PBE
State: optimized geometry

Cell lengths 3.306, 3.306, 6.807 Å; angles 90.00, 90.00, 90.00 degrees
Element x y z (fractional)
Er1 0.000 0.000 0.000
Hf1 0.000 0.000 0.500
Rh1 0.500 0.500 0.273
Rh2 0.500 0.500 0.727

Output
Symmetry   P4/mmm
Energy of formation   -0.927 eV per atom
Relative energy among the computed polymorphs   0 meV per atom